(1)
HgAs2Se4 | PBE-GGA | optimized geometry

Lattice parameters (Å, degrees): 6.5660 6.5660 13.6779 90.00 90.00 145.29
Atoms (fractional coordinates):
Hg  0.0908  0.9092  0.7500
Hg  0.9092  0.0908  0.2500
As  0.3629  0.6371  0.5601
As  0.3629  0.6371  0.9399
As  0.6371  0.3629  0.0601
As  0.6371  0.3629  0.4399
Se  0.0000  0.0000  0.0000
Se  0.0000  0.0000  0.5000
Se  0.2708  0.7292  0.1163
Se  0.2708  0.7292  0.3837
Se  0.4453  0.5547  0.7500
Se  0.5547  0.4453  0.2500
Se  0.7292  0.2708  0.6163
Se  0.7292  0.2708  0.8837

## Properties
As for the total energy: -3.38 eV per atom. The calculation puts the density of states at the Fermi level at 1.685 states/eV/f.u. For the energy relative to the elements, uncorrected, the calculation gives -0.01 eV/atom. Its volume is 335.80 Å³/cell. The density comes out at 6590 kg/m3.

(2)
HgAs2Se | PBE-GGA | optimized geometry

Lattice parameters (Å, degrees): 3.3771 5.4950 5.5160 90.00 90.61 90.00
Atoms (fractional coordinates):
Hg  0.0000  0.0000  0.0000
As  0.0312  0.5000  0.5358
As  0.0333  0.0000  0.4893
Se  0.5360  0.5000  0.8612

## Properties
For the polymorph energy (0 for the lowest one), the calculation gives 0.115 eV per atom. As for the total energy: -3.12 eV per atom. The calculation puts the density of states at the Fermi level at 1.365 states/eV/f.u. For the energy relative to the elements, uncorrected, the calculation gives 0.15 eV/atom. Its volume is 102.36 Å³/cell. The density comes out at 6966 kg/m3.

(3)
HgAs2Se | PBE-GGA | optimized geometry

Lattice parameters (Å, degrees): 4.0239 4.0239 19.1357 90.00 90.00 120.00
Atoms (fractional coordinates):
Hg  0.0000  0.0000  0.0000
Hg  0.3333  0.6667  0.6667
Hg  0.6667  0.3333  0.3333
As  0.0000  0.0000  0.2489
As  0.0000  0.0000  0.7511
As  0.3333  0.6667  0.4178
As  0.3333  0.6667  0.9156
As  0.6667  0.3333  0.0844
As  0.6667  0.3333  0.5822
Se  0.0000  0.0000  0.5000
Se  0.3333  0.6667  0.1667
Se  0.6667  0.3333  0.8333

## Properties
For the polymorph energy (0 for the lowest one), the calculation gives 0.208 eV per atom. As for the total energy: -3.03 eV per atom. The calculation puts the density of states at the Fermi level at 2.576 states/eV/f.u. For the energy relative to the elements, uncorrected, the calculation gives 0.24 eV/atom. Its volume is 268.32 Å³/cell. The density comes out at 7972 kg/m3.

(4)
HgAs2Se | PBE-GGA | optimized geometry

Lattice parameters (Å, degrees): 13.6870 3.5568 4.8522 90.00 104.11 90.00
Atoms (fractional coordinates):
Hg  0.0000  0.0000  0.0000
Hg  0.5000  0.5000  0.0000
As  0.1455  0.5000  0.5816
As  0.2602  0.0000  0.8726
As  0.6455  0.0000  0.5816
As  0.7602  0.5000  0.8726
Se  0.2785  0.5000  0.3301
Se  0.7785  0.0000  0.3301

## Properties
For the polymorph energy (0 for the lowest one), the calculation gives 0.111 eV per atom. As for the total energy: -3.13 eV per atom. The calculation puts the density of states at the Fermi level at 1.041 states/eV/f.u. For the energy relative to the elements, uncorrected, the calculation gives 0.14 eV/atom. Its volume is 229.09 Å³/cell. The density comes out at 6225 kg/m3.

(5)
Hg3AsSe4 | PBE-GGA | optimized geometry

Lattice parameters (Å, degrees): 7.6253 7.6085 8.3641 90.00 90.00 90.00
Atoms (fractional coordinates):
Hg  0.0000  0.0636  0.0000
Hg  0.1943  0.3537  0.5692
Hg  0.3057  0.6463  0.0692
Hg  0.5000  0.9364  0.5000
Hg  0.6943  0.6463  0.0692
Hg  0.8057  0.3537  0.5692
As  0.0000  0.8715  0.4977
As  0.5000  0.1285  0.9977
Se  0.0000  0.1289  0.3290
Se  0.0000  0.7341  0.9232
Se  0.2469  0.6951  0.4045
Se  0.2531  0.3049  0.9045
Se  0.5000  0.2659  0.4232
Se  0.5000  0.8711  0.8290
Se  0.7469  0.3049  0.9045
Se  0.7531  0.6951  0.4045

## Properties
As for the total energy: -2.48 eV per atom. The calculation puts the density of states at the Fermi level at 2.999 states/eV/f.u. For the energy relative to the elements, uncorrected, the calculation gives -0.05 eV/atom. Its volume is 485.26 Å³/cell. The density comes out at 6793 kg/m3.

(6)
Hg12As3Se5 | PBE-GGA | optimized geometry

Lattice parameters (Å, degrees): 14.3314 14.3314 14.3314 109.47 109.47 109.47
Atoms (fractional coordinates):
Hg  0.0630  0.2361  0.1355
Hg  0.0630  0.3269  0.9275
Hg  0.0725  0.6355  0.3994
Hg  0.0725  0.9370  0.6731
Hg  0.1006  0.7361  0.6731
Hg  0.1006  0.8645  0.4275
Hg  0.1355  0.0630  0.2361
Hg  0.1355  0.5725  0.8994
Hg  0.1731  0.2361  0.6006
Hg  0.1731  0.4370  0.5725
Hg  0.2361  0.1355  0.0630
Hg  0.2361  0.6006  0.1731
Hg  0.2639  0.3269  0.8994
Hg  0.2639  0.4370  0.3645
Hg  0.3269  0.8994  0.2639
Hg  0.3269  0.9275  0.0630
Hg  0.3645  0.2639  0.4370
Hg  0.3645  0.6006  0.9275
Hg  0.3994  0.0725  0.6355
Hg  0.3994  0.8269  0.7639
Hg  0.4275  0.1006  0.8645
Hg  0.4275  0.8269  0.5630
Hg  0.4370  0.3645  0.2639
Hg  0.4370  0.5725  0.1731
Hg  0.5630  0.4275  0.8269
Hg  0.5630  0.6355  0.7361
Hg  0.5725  0.1731  0.4370
Hg  0.5725  0.8994  0.1355
Hg  0.6006  0.1731  0.2361
Hg  0.6006  0.9275  0.3645
Hg  0.6355  0.3994  0.0725
Hg  0.6355  0.7361  0.5630
Hg  0.6731  0.0725  0.9370
Hg  0.6731  0.1006  0.7361
Hg  0.7361  0.5630  0.6355
Hg  0.7361  0.6731  0.1006
Hg  0.7639  0.3994  0.8269
Hg  0.7639  0.8645  0.9370
Hg  0.8269  0.5630  0.4275
Hg  0.8269  0.7639  0.3994
Hg  0.8645  0.4275  0.1006
Hg  0.8645  0.9370  0.7639
Hg  0.8994  0.1355  0.5725
Hg  0.8994  0.2639  0.3269
Hg  0.9275  0.0630  0.3269
Hg  0.9275  0.3645  0.6006
Hg  0.9370  0.6731  0.0725
Hg  0.9370  0.7639  0.8645
As  0.1250  0.2500  0.3750
As  0.1250  0.3750  0.7500
As  0.2500  0.3750  0.1250
As  0.2500  0.8750  0.6250
As  0.3750  0.1250  0.2500
As  0.3750  0.7500  0.1250
As  0.6250  0.2500  0.8750
As  0.6250  0.8750  0.7500
As  0.7500  0.1250  0.3750
As  0.7500  0.6250  0.8750
As  0.8750  0.6250  0.2500
As  0.8750  0.7500  0.6250
Se  0.0000  0.0000  0.0000
Se  0.0000  0.0000  0.5000
Se  0.0000  0.5000  0.0000
Se  0.0000  0.5000  0.5000
Se  0.1250  0.7500  0.8750
Se  0.1250  0.8750  0.2500
Se  0.2500  0.1250  0.8750
Se  0.2500  0.6250  0.3750
Se  0.3750  0.2500  0.6250
Se  0.3750  0.6250  0.7500
Se  0.5000  0.0000  0.0000
Se  0.5000  0.0000  0.5000
Se  0.5000  0.5000  0.0000
Se  0.5000  0.5000  0.5000
Se  0.6250  0.3750  0.2500
Se  0.6250  0.7500  0.3750
Se  0.7500  0.3750  0.6250
Se  0.7500  0.8750  0.1250
Se  0.8750  0.1250  0.7500
Se  0.8750  0.2500  0.1250

## Properties
As for the total energy: -1.65 eV per atom. The calculation puts the density of states at the Fermi level at 10.188 states/eV/f.u. For the energy relative to the elements, uncorrected, the calculation gives 0.10 eV/atom. Its volume is 2265.91 Å³/cell. The density comes out at 8872 kg/m3.

(7)
HgAs2Se | PBE-GGA | optimized geometry

Lattice parameters (Å, degrees): 3.7713 3.7713 18.1428 90.00 90.00 90.00
Atoms (fractional coordinates):
Hg  0.0000  0.0000  0.0000
Hg  0.5000  0.5000  0.5000
As  0.0000  0.5000  0.2500
As  0.0000  0.5000  0.7500
As  0.5000  0.0000  0.2500
As  0.5000  0.0000  0.7500
Se  0.0000  0.0000  0.5000
Se  0.5000  0.5000  0.0000

## Properties
For the polymorph energy (0 for the lowest one), the calculation gives 0.318 eV per atom. As for the total energy: -2.92 eV per atom. The calculation puts the density of states at the Fermi level at 2.740 states/eV/f.u. For the energy relative to the elements, uncorrected, the calculation gives 0.35 eV/atom. Its volume is 258.04 Å³/cell. The density comes out at 5527 kg/m3.

(8)
HgAs2Se | PBE-GGA | optimized geometry

Lattice parameters (Å, degrees): 4.9589 4.9589 3.4200 90.00 90.00 90.00
Atoms (fractional coordinates):
Hg  0.0000  0.0000  0.0000
As  0.0000  0.5000  0.5000
As  0.5000  0.0000  0.5000
Se  0.5000  0.5000  0.0000

## Properties
For the polymorph energy (0 for the lowest one), the calculation gives 0.424 eV per atom. As for the total energy: -2.81 eV per atom. The calculation puts the density of states at the Fermi level at 1.986 states/eV/f.u. For the energy relative to the elements, uncorrected, the calculation gives 0.46 eV/atom. Its volume is 84.10 Å³/cell. The density comes out at 8478 kg/m3.